No. 1
The following is a PBE-GGA calculation of Sr2GaCu3 after structural relaxation, from the Alexandria database.

Fermi-level density of states   3.01 states/eV/f.u.
Magnetization   0.00 μB per cell
Energy of formation   -0.14 eV per atom
Crystal system   monoclinic

Cell: 4.507 5.955 5.777 Å, 79.91 67.04 67.76°
Fractional coordinates of all 6 atoms:
1 Sr 0.552 0.197 0.698
2 Sr 0.446 0.804 0.304
3 Ga 0.173 0.400 0.254
4 Cu 0.833 0.602 0.732
5 Cu 0.833 0.230 0.103
6 Cu 0.163 0.766 0.909

---

No. 2
The following is a PBE-GGA calculation of FeSnGeH2 after structural relaxation, from the Alexandria database.

DFT total energy   -21.5 eV per formula unit
Fermi-level density of states   2.69 states/eV/f.u.
Magnetization   1.35 μB per cell
Crystal system   tetragonal

Cell: 3.609 5.087 3.609 Å, 90.00 90.00 90.00°
Fractional coordinates of all 5 atoms:
1 H 0.000 0.000 0.500
2 H 0.500 0.000 0.000
3 Ge 0.000 0.000 0.000
4 Sn 0.500 0.500 0.500
5 Fe 0.000 0.500 0.000

---

No. 3
The following is a PBE-GGA calculation of Cr3NiW after structural relaxation, from the Alexandria database.

Fermi-level density of states   8.79 states/eV/f.u.
Magnetization   0.43 μB per cell
Energy relative to the lowest polymorph listed for this composition   536 meV per atom
Energy of formation   2.00 eV per atom
Crystal system   cubic

Cell: 4.448 4.448 4.448 Å, 90.00 90.00 90.00°
Fractional coordinates of all 5 atoms:
1 Ni 0.500 0.500 0.500
2 W 0.000 0.000 0.000
3 Cr 0.000 0.500 0.000
4 Cr 0.000 0.000 0.500
5 Cr 0.500 0.000 0.000

---

No. 4
The following is a PBE-GGA calculation of MnAgRh2 after structural relaxation, from the Alexandria database.

Fermi-level density of states   4.23 states/eV/f.u.
Magnetization   3.30 μB per cell
Energy relative to the lowest polymorph listed for this composition   86 meV per atom
Energy of formation   0.13 eV per atom
Crystal system   tetragonal

Cell: 2.809 2.809 7.691 Å, 90.00 90.00 90.00°
Fractional coordinates of all 4 atoms:
1 Ag 0.000 0.000 0.504
2 Mn 0.500 0.500 0.769
3 Rh 0.000 0.000 0.994
4 Rh 0.500 0.500 0.233

---

No. 5
The following is a PBE-GGA calculation of Ba6Te5Br after structural relaxation, from the Alexandria database.

Fermi-level density of states   3.18 states/eV/f.u.
Magnetization   0.00 μB per cell
Uncorrected formation energy   -1.780 eV per atom
Crystal system   monoclinic

Cell: 8.602 8.601 8.601 Å, 60.00 80.42 70.56°
Fractional coordinates of all 12 atoms:
1 Ba 0.746 0.085 0.339
2 Ba 0.254 0.577 0.339
3 Ba 0.252 0.254 0.000
4 Ba 0.748 0.746 0.000
5 Ba 0.746 0.423 0.661
6 Ba 0.254 0.915 0.661
7 Te 0.500 0.165 0.670
8 Te 0.000 0.333 0.334
9 Te 0.500 0.500 0.000
10 Te 0.000 0.667 0.666
11 Te 0.500 0.835 0.330
12 Br 0.000 0.000 0.000

---

No. 6
The following is a PBE-GGA calculation of La2Ni2Hg after structural relaxation, from the Alexandria database.

Fermi-level density of states   7.24 states/eV/f.u.
Magnetization   0.00 μB per cell
Energy of formation   -0.23 eV per atom
Crystal system   tetragonal

Cell: 3.627 3.627 9.275 Å, 78.72 78.72 90.00°
Fractional coordinates of all 5 atoms:
1 Ni 0.750 0.250 0.500
2 Ni 0.250 0.750 0.500
3 Hg 0.000 0.000 0.000
4 La 0.372 0.372 0.256
5 La 0.628 0.628 0.744